KMg2Ru | PBE | relaxed

Computed properties:
ΔE to the lowest computed polymorph = 0 meV/atom
formation enthalpy at 0 K = 240 meV/atom

a = 3.3298 Å, b = 3.3298 Å, c = 8.9308 Å
α = 90.00°, β = 90.00°, γ = 90.00°
With the nearest neighbours (Å) after each atom.
Space group P4/mmm (No. 123)
Inequivalent atoms, fractional coordinates:
K (0.0000, 0.0000, 0.0000) x1  4 K 3.33
Mg (0.5000, 0.5000, 0.3442) x2  4 Ru 2.74, 1 Mg 2.78
Ru (0.0000, 0.0000, 0.5000) x1  8 Mg 2.74